VASP calculation (PBE) on an optimized crystal structure of HfMnBeZn2.

Geometry as extended XYZ:
```
5
Lattice="4.1720 0.0000 0.0000 0.0000 4.1720 0.0000 0.0000 0.0000 4.6997" Properties=species:S:1:pos:R:3 pbc="T T T"
Hf 0.0000 0.0000 0.0000
Mn 2.0860 2.0860 0.0000
Be 0.0000 0.0000 2.3499
Zn 0.0000 2.0860 2.3499
Zn 2.0860 0.0000 2.3499
```

Properties
* final energy: -23.32 eV/cell